The following is a DFT calculation (PBE-GGA) of a geometry-optimized LiGe2Pt4 structure.

Unit cell a=5.5543 b=6.4570 c=7.2397 alpha=113.63 beta=100.57 gamma=105.93
Last column: nearest neighbours and their distance in Å.
Space group P1 (No. 1)
Symmetry-distinct sites (fractional):
Li 0.0000 0.0000 0.0000 [1 per cell]  7 Pt 2.62-2.80, 2 Ge 2.66-2.71
Li 0.2119 0.6920 0.4652 [1 per cell]  7 Pt 2.57-2.86, 2 Ge 2.71-2.82
Ge 0.1339 0.2259 0.7761 [1 per cell]  7 Pt 2.53-2.74, 1 Li 2.66
Ge 0.5757 0.1768 0.6271 [1 per cell]  7 Pt 2.52-2.82, 1 Li 2.82
Ge 0.7469 0.3031 0.3082 [1 per cell]  5 Pt 2.51-2.64, 1 Li 2.71
Ge 0.8297 0.8320 0.2602 [1 per cell]  6 Pt 2.50-2.67, 1 Li 2.71
Pt 0.1933 0.2467 0.4263 [1 per cell]  4 Ge 2.50-2.66, 2 Li 2.67-2.74
Pt 0.3854 0.8969 0.2061 [1 per cell]  3 Ge 2.54-2.65, 1 Li 2.77, 1 Pt 2.80
Pt 0.4079 0.4429 0.1716 [1 per cell]  3 Ge 2.51-2.67, 2 Li 2.71-2.72, 1 Pt 2.78
Pt 0.4319 0.0058 0.8651 [1 per cell]  2 Ge 2.52-2.61, 2 Li 2.57-2.75, 1 Pt 2.76
Pt 0.5579 0.6189 0.8606 [1 per cell]  3 Ge 2.57-2.71, 1 Li 2.62, 2 Pt 2.76-2.87
Pt 0.7373 0.8216 0.5879 [1 per cell]  3 Ge 2.53-2.62, 2 Li 2.66-2.67, 1 Pt 2.83
Pt 0.9045 0.4471 0.0602 [1 per cell]  3 Ge 2.51-2.74, 1 Li 2.64, 1 Pt 2.78
Pt 0.9901 0.5467 0.7145 [1 per cell]  3 Ge 2.57-2.58, 2 Li 2.68-2.80, 3 Pt 2.86-2.87

Output
Excess energy over the best structure of this formula in the dataset (kcal/mol of atoms): 1.27
Energy of formation from the pure elements (eV per formula unit): -3.04
E_tot (eV per cell): -76.70
Magnetic moment (Bohr magnetons per cell): 0.00